1.
Entry from Alexandria: CePmTl4 after structural relaxation (GGA-PBE).

abc: 8.855 8.855 8.855
angles: 90.00 90.00 90.00
Space group F-43m (No. 216)
Unique sites:
Ce 0.000 0.000 0.000 [4 per cell]
Pm 0.250 0.250 0.250 [4 per cell]
Tl 0.125 0.125 0.625 [16 per cell]

Output
Excess energy over the best structure of this formula in the dataset = 0 kJ/mol of formula units
D(E_F) = 10.59 states/eV/f.u.


2.
Entry from Alexandria: Ce2Pm5Tl4 after structural relaxation (GGA-PBE).

abc: 3.469 10.900 18.728
angles: 90.00 90.00 90.00
Space group Immm (No. 71)
Unique sites:
Ce 0.000 0.000 0.214 [4 per cell]
Pm 0.000 0.278 0.171 [8 per cell]
Pm 0.000 0.500 0.500 [2 per cell]
Tl 0.000 0.000 0.409 [4 per cell]
Tl 0.000 0.271 0.000 [4 per cell]

Output
D(E_F) = 19.83 states/eV/f.u.


3.
Entry from Alexandria: CePmTl2 after structural relaxation (GGA-PBE).

abc: 7.787 7.787 7.787
angles: 90.00 90.00 90.00
Space group Fm-3m (No. 225)
Unique sites:
Ce 0.000 0.000 0.000 [4 per cell]
Pm 0.000 0.000 0.500 [4 per cell]
Tl 0.250 0.250 0.250 [8 per cell]

Output
Excess energy over the best structure of this formula in the dataset = 6 kJ/mol of formula units
D(E_F) = 9.41 states/eV/f.u.


Number 1: total magnetization 1.59 μB per formula unit, ΔE_f -0.088 eV per atom. Number 2: total magnetization 2.16 μB per formula unit, ΔE_f 0.102 eV per atom. Number 3: total magnetization 1.08 μB per formula unit, ΔE_f -0.292 eV per atom.